Entry from Alexandria via LeMat-Bulk: an optimized crystal structure of Cs2PdPbBr6 (GGA-PBE).

```
10
Lattice="-2.930 -2.004 -4.513 -3.100 -3.339 3.495 -7.428 8.153 1.202" Properties=species:S:1:pos:R:3 pbc="T T T"
Br -1.465 -1.002 -2.257
Br -5.179 3.075 -1.656
Br -5.264 2.407 2.348
Br -5.033 -0.457 -0.183
Pb -3.015 -2.672 -0.509
Br -1.550 -1.670 1.747
Cs -5.397 5.924 0.873
Pd -6.729 1.405 0.092
Cs -2.031 2.229 0.329
Br -8.425 3.267 0.366
```

Output
- electronic total energy (eV per atom) = -3.128
- V (Å³/cell) = 366
- symmetry = P4/mmm, No. 123
- crystal system = tetragonal

Entry from Alexandria via LeMat-Bulk: an optimized crystal structure of CsPdPb2Br8 (GGA-PBE).

```
12
Lattice="7.093 0.911 0.207 0.962 7.148 1.354 0.272 1.987 8.899" Properties=species:S:1:pos:R:3 pbc="T T T"
Br 4.721 6.792 5.456
Br 1.972 1.172 0.981
Br 1.070 5.474 3.238
Cs 0.136 0.994 4.450
Br 5.340 2.668 1.562
Pb 4.270 4.679 7.538
Br 3.607 3.254 5.004
Pd 0.000 0.000 0.000
Pb 4.057 5.366 2.921
Br 6.355 8.873 9.479
Br 2.988 7.378 8.897
Br 7.258 4.571 7.222
```

Output
- electronic total energy (eV per atom) = -3.055
- V (Å³/cell) = 425
- symmetry = P-1, No. 2
- crystal system = triclinic

Entry from Alexandria via LeMat-Bulk: an optimized crystal structure of Cs2PmPbBr6 (GGA-PBE).

```
20
Lattice="-1.949 -7.686 1.038 4.283 -2.209 -8.315 10.046 -1.785 5.649" Properties=species:S:1:pos:R:3 pbc="T T T"
Br 7.436 -5.643 2.988
Br 5.353 -7.701 0.087
Br 3.779 -4.098 -8.014
Pb 0.253 -4.476 -1.864
Br 5.865 -2.185 -5.165
Br 1.030 -6.930 -4.020
Br 3.589 -6.647 3.556
Br 4.553 -2.847 3.042
Br 6.381 -3.646 -0.461
Pb 8.079 -2.469 -3.107
Cs 3.477 -0.901 -0.144
Cs 10.132 -6.981 -1.860
Cs 4.854 -6.043 -4.828
Br 2.466 -4.760 0.193
Br 10.941 -3.087 -2.310
Br 1.951 -3.299 -4.511
Pm 5.017 -5.235 1.463
Cs 8.245 -1.749 2.537
Pm 3.315 -1.710 -6.435
Br 2.793 -7.983 -7.489
```

Output
- electronic total energy (eV per atom) = -3.517
- V (Å³/cell) = 896
- symmetry = Pmmn, No. 59
- crystal system = orthorhombic

Entry from Alexandria via LeMat-Bulk: an optimized crystal structure of CsPrPbBr6 (GGA-PBE).

```
18
Lattice="-1.162 8.469 -6.973 -10.248 0.729 2.594 7.499 0.340 7.889" Properties=species:S:1:pos:R:3 pbc="T T T"
Br 2.060 1.880 5.593
Br -4.506 5.858 4.213
Br -5.485 4.113 0.836
Br -7.023 2.373 4.052
Br -2.817 5.315 -1.801
Cs -1.924 1.940 2.676
Br 1.574 5.425 2.674
Br -5.971 7.657 -2.083
Pb -5.705 4.599 -2.189
Pb -0.581 4.234 -3.486
Br 0.108 7.225 -3.622
Br -4.019 2.313 7.131
Br 3.112 7.165 -0.542
Cs -1.987 7.598 0.833
Br -1.094 4.223 5.311
Pr 3.169 4.404 0.458
Br 0.595 3.680 -0.703
Pr 3.750 0.170 3.944
```

Output
- electronic total energy (eV per atom) = -3.655
- V (Å³/cell) = 906
- symmetry = Imma, No. 74
- crystal system = orthorhombic

Entry from Alexandria via LeMat-Bulk: an optimized crystal structure of Cs2PuPbBr6 (GGA-PBE).

```
20
Lattice="8.429 0.000 0.000 0.000 8.508 0.000 0.000 0.000 11.962" Properties=species:S:1:pos:R:3 pbc="T T T"
Br 2.161 8.459 5.981
Pb 4.214 2.211 0.000
Pu 0.000 6.447 0.000
Pb 0.000 6.297 5.981
Br 2.082 4.073 5.981
Br 6.376 0.049 0.000
Br 2.053 0.049 0.000
Cs 0.000 1.979 3.123
Br 4.214 2.018 8.917
Br 2.133 4.435 0.000
Br 0.000 6.490 9.026
Br 4.214 2.018 3.045
Br 6.296 4.435 0.000
Pu 4.214 2.061 5.981
Br 6.267 8.459 5.981
Br 6.347 4.073 5.981
Cs 0.000 1.979 8.840
Cs 4.214 6.529 2.858
Cs 4.214 6.529 9.104
Br 0.000 6.490 2.936
```

Output
- electronic total energy (eV per atom) = -4.406
- V (Å³/cell) = 858
- symmetry = Pmmn, No. 59
- crystal system = orthorhombic

Entry from Alexandria via LeMat-Bulk: an optimized crystal structure of CsPuPb2Br8 (GGA-PBE).

```
12
Lattice="7.278 0.036 0.012 0.093 7.073 0.012 0.029 0.037 9.529" Properties=species:S:1:pos:R:3 pbc="T T T"
Pb 3.693 3.568 2.392
Br 1.193 5.290 1.979
Br 6.175 1.822 1.973
Br 2.406 1.767 9.533
Br 1.225 5.325 7.579
Br 6.207 1.856 7.574
Pu 0.000 0.000 0.000
Pb 3.708 3.579 7.160
Br 4.995 5.380 0.020
Br 4.439 5.236 4.759
Cs 0.015 0.019 4.764
Br 2.961 1.911 4.794
```

Output
- electronic total energy (eV per atom) = -4.231
- V (Å³/cell) = 491
- symmetry = P-1, No. 2
- crystal system = triclinic

Entry from Alexandria via LeMat-Bulk: an optimized crystal structure of CsPu2PbBr8 (GGA-PBE).

```
12
Lattice="7.417 0.031 -0.005 0.125 7.096 -0.005 0.008 0.016 9.232" Properties=species:S:1:pos:R:3 pbc="T T T"
Cs 0.004 0.008 4.616
Br 2.637 1.893 -0.002
Br 1.361 5.187 2.007
Br 1.370 5.199 7.221
Br 4.605 5.186 4.608
Pu 3.772 3.567 2.258
Br 6.189 1.956 7.216
Pu 3.778 3.576 6.965
Br 2.945 1.957 4.615
Br 4.913 5.250 9.225
Br 6.180 1.944 2.002
Pb 0.000 0.000 0.000
```

Output
- electronic total energy (eV per atom) = -5.276
- V (Å³/cell) = 486
- symmetry = P-1, No. 2
- crystal system = triclinic

Entry from Alexandria via LeMat-Bulk: an optimized crystal structure of CsRb2PbBr6 (GGA-PBE).

```
10
Lattice="8.824 0.000 0.000 0.000 8.824 0.000 4.412 4.412 6.238" Properties=species:S:1:pos:R:3 pbc="T T T"
Br 6.794 2.030 0.000
Rb 4.412 8.824 3.119
Br 2.030 6.794 0.000
Rb 8.824 4.412 3.119
Br 8.824 8.824 2.870
Br 6.794 6.794 0.000
Br 4.412 4.412 3.367
Cs 4.412 4.412 0.000
Pb 0.000 0.000 0.000
Br 2.030 2.030 0.000
```

Output
- electronic total energy (eV per atom) = -2.872
- V (Å³/cell) = 486
- symmetry = Fm-3m, No. 225
- crystal system = cubic